Entry 1:
## Ba4ZrBr (PBE-GGA)

Data for an optimized crystal structure of Ba4ZrBr.

Output
**Density of states at the Fermi level**: 1.24 states/eV per atom
**Formation energy (no corrections)**: 491 meV/atom

Lattice parameters (Å, degrees): 7.4498 7.4498 7.4498 60.00 60.00 60.00
Atoms (fractional coordinates):
Ba (0.1240, 0.1240, 0.1240)
Ba (0.1240, 0.1240, 0.6280)
Ba (0.1240, 0.6280, 0.1240)
Ba (0.6280, 0.1240, 0.1240)
Zr (0.7500, 0.7500, 0.7500)
Br (0.5000, 0.5000, 0.5000)


Entry 2:
## BaC (PBE-GGA)

Data for an optimized crystal structure of BaC.

Output
**Density of states at the Fermi level**: 0.64 states/eV per atom
**Energy above the most stable polymorph in this dataset**: 769 meV per atom
**Formation enthalpy at 0 K**: 1.69 eV per formula unit

Lattice parameters (Å, degrees): 11.7832 11.7832 2.9773 90.00 90.00 90.00
Atoms (fractional coordinates):
Ba (0.0000, 0.3390, 0.0000)
Ba (0.0000, 0.6610, 0.0000)
Ba (0.3390, 0.0000, 0.0000)
Ba (0.3414, 0.3414, 0.5000)
Ba (0.3414, 0.6586, 0.5000)
Ba (0.6586, 0.3414, 0.5000)
Ba (0.6586, 0.6586, 0.5000)
Ba (0.6610, 0.0000, 0.0000)
C (0.1391, 0.5000, 0.5000)
C (0.1910, 0.5000, 0.0000)
C (0.5000, 0.1391, 0.5000)
C (0.5000, 0.1910, 0.0000)
C (0.5000, 0.8090, 0.0000)
C (0.5000, 0.8609, 0.5000)
C (0.8090, 0.5000, 0.0000)
C (0.8609, 0.5000, 0.5000)


Entry 3:
## BaC2 (PBE-GGA)

Data for an optimized crystal structure of BaC2.

Output
**Density of states at the Fermi level**: 0.00 states/eV per atom
**Formation enthalpy at 0 K**: 3.88 eV per formula unit

Lattice parameters (Å, degrees): 5.2482 5.2482 8.4837 90.00 90.00 120.00
Atoms (fractional coordinates):
Ba (0.3333, 0.6667, 0.0553)
Ba (0.3333, 0.6667, 0.4447)
Ba (0.6667, 0.3333, 0.5553)
Ba (0.6667, 0.3333, 0.9447)
C (0.0000, 0.0000, 0.0000)
C (0.0000, 0.0000, 0.5000)
C (0.0943, 0.1886, 0.7500)
C (0.0943, 0.9057, 0.7500)
C (0.1886, 0.0943, 0.2500)
C (0.8114, 0.9057, 0.7500)
C (0.9057, 0.0943, 0.2500)
C (0.9057, 0.8114, 0.2500)


Entry 4:
## BaC2 (PBE-GGA)

Data for an optimized crystal structure of BaC2.

Output
**Density of states at the Fermi level**: 0.39 states/eV per atom
**Formation enthalpy at 0 K**: 4.06 eV per formula unit

Lattice parameters (Å, degrees): 3.4380 3.4380 9.0034 90.00 90.00 90.00
Atoms (fractional coordinates):
Ba (0.2500, 0.2500, 0.2497)
Ba (0.7500, 0.7500, 0.7503)
C (0.2500, 0.2500, 0.5465)
C (0.2500, 0.7500, 0.5000)
C (0.7500, 0.2500, 0.5000)
C (0.7500, 0.7500, 0.4535)